# PBE PuMgAl2Zn2, relaxed
data_PuMgAl2Zn2
_cell_length_a 4.5247
_cell_length_b 4.5247
_cell_length_c 6.5770
_cell_angle_alpha 90.00
_cell_angle_beta 90.00
_cell_angle_gamma 120.00
_space_group_name_H-M_alt 'P -3 m 1'
_space_group_IT_number 164
_space_group_name_Hall '-P 3 2"'
loop_
_atom_site_label
_atom_site_type_symbol
_atom_site_fract_x
_atom_site_fract_y
_atom_site_fract_z
Pu1 Pu 0.0000 0.0000 0.0000
Mg1 Mg 0.0000 0.0000 0.5000
Al1 Al 0.3333 0.6667 0.7606
Zn1 Zn 0.3333 0.6667 0.2456
# Final energy (eV per cell): -26.898
# DFT formation energy (eV/atom): -0.1564
# Total moment (μB per formula unit): 5.30
# Calculated volume (A^3/atom): 19.44
# DOS at the Fermi energy (states/eV/f.u.): 11.38


# PBE RbMg3Al, relaxed
data_RbMg3Al
_cell_length_a 5.502
_cell_length_b 5.502
_cell_length_c 5.502
_cell_angle_alpha 90.00
_cell_angle_beta 90.00
_cell_angle_gamma 90.00
_space_group_name_H-M_alt 'P m -3 m'
_space_group_IT_number 221
_space_group_name_Hall '-P 4 2 3'
loop_
_atom_site_label
_atom_site_type_symbol
_atom_site_fract_x
_atom_site_fract_y
_atom_site_fract_z
Rb1 Rb 0.000 0.000 0.000
Mg1 Mg 0.000 0.500 0.500
Al1 Al 0.500 0.500 0.500
# Final energy (eV per cell): -7.980
# DFT formation energy (eV/atom): 0.3028
# Total moment (μB per formula unit): 0.00
# Calculated volume (A^3/atom): 33.32
# DOS at the Fermi energy (states/eV/f.u.): 3.41
# Offset from the most stable computed form (eV/atom): 0.000


# PBE RbMg2Al, relaxed
data_RbMg2Al
_cell_length_a 4.9041
_cell_length_b 4.9041
_cell_length_c 20.2879
_cell_angle_alpha 90.00
_cell_angle_beta 90.00
_cell_angle_gamma 120.00
_space_group_name_H-M_alt 'R -3 m'
_space_group_IT_number 166
_space_group_name_Hall '-R 3 2"'
loop_
_atom_site_label
_atom_site_type_symbol
_atom_site_fract_x
_atom_site_fract_y
_atom_site_fract_z
Rb1 Rb 0.0000 0.0000 0.0000
Mg1 Mg 0.0000 0.0000 0.1918
Al1 Al 0.0000 0.0000 0.5000
# Final energy (eV per cell): -21.930
# DFT formation energy (eV/atom): 0.1473
# Total moment (μB per formula unit): 0.00
# Calculated volume (A^3/atom): 35.21
# DOS at the Fermi energy (states/eV/f.u.): 2.09


# PBE RbMgAl2, relaxed
data_RbMgAl2
_cell_length_a 5.385
_cell_length_b 5.385
_cell_length_c 19.984
_cell_angle_alpha 90.00
_cell_angle_beta 90.00
_cell_angle_gamma 90.00
_space_group_name_H-M_alt 'I -4 2 d'
_space_group_IT_number 122
_space_group_name_Hall 'I -4 2bw'
loop_
_atom_site_label
_atom_site_type_symbol
_atom_site_fract_x
_atom_site_fract_y
_atom_site_fract_z
Rb1 Rb 0.000 0.000 0.000
Mg1 Mg 0.000 0.000 0.500
Al1 Al 0.001 0.250 0.625
# Final energy (eV per cell): -33.290
# DFT formation energy (eV/atom): 0.4312
# Total moment (μB per formula unit): 0.00
# Calculated volume (A^3/atom): 36.22
# DOS at the Fermi energy (states/eV/f.u.): 2.27


Question: Among the records above, which one has the lowest calculated volume?
Answer: PuMgAl2Zn2